# CaZnCd6 (PBE-GGA, relaxed)
data_CaZnCd6
_cell_length_a 4.543
_cell_length_b 4.543
_cell_length_c 9.583
_cell_angle_alpha 90.00
_cell_angle_beta 90.00
_cell_angle_gamma 90.00
_symmetry_space_group_name_H-M 'P 1'
_symmetry_Int_Tables_number 1
loop_
_symmetry_equiv_pos_as_xyz
'x,y,z'
loop_
_atom_site_label
_atom_site_type_symbol
_atom_site_fract_x
_atom_site_fract_y
_atom_site_fract_z
Ca1 Ca 0.000 0.000 0.000
Zn1 Zn 0.000 0.000 0.500
Cd1 Cd 0.000 0.500 0.334
Cd2 Cd 0.000 0.500 0.666
Cd3 Cd 0.500 0.000 0.334
Cd4 Cd 0.500 0.000 0.666
Cd5 Cd 0.500 0.500 0.143
Cd6 Cd 0.500 0.500 0.857
# Space group   P4/mmm
# E_form   -0.80 eV/f.u.
# Electronic total energy   -1.20 eV/atom
# DOS at the Fermi energy   3.161 states/eV/cell

=====

# CaZn2Cd4 (PBE-GGA, relaxed)
data_CaZn2Cd4
_cell_length_a 8.154
_cell_length_b 8.154
_cell_length_c 4.483
_cell_angle_alpha 90.00
_cell_angle_beta 90.00
_cell_angle_gamma 148.40
_symmetry_space_group_name_H-M 'P 1'
_symmetry_Int_Tables_number 1
loop_
_symmetry_equiv_pos_as_xyz
'x,y,z'
loop_
_atom_site_label
_atom_site_type_symbol
_atom_site_fract_x
_atom_site_fract_y
_atom_site_fract_z
Ca1 Ca 0.000 0.000 0.000
Zn1 Zn 0.423 0.577 0.500
Zn2 Zn 0.577 0.423 0.500
Cd1 Cd 0.179 0.821 0.500
Cd2 Cd 0.322 0.678 0.000
Cd3 Cd 0.678 0.322 0.000
Cd4 Cd 0.821 0.179 0.500
# Space group   Cmmm
# ΔE to the lowest computed polymorph   0 meV/atom
# E_form   -1.14 eV/f.u.
# Electronic total energy   -1.34 eV/atom
# DOS at the Fermi energy   3.120 states/eV/cell

=====

# CaZnCd (PBE-GGA, relaxed)
data_CaZnCd
_cell_length_a 5.834
_cell_length_b 5.834
_cell_length_c 5.834
_cell_angle_alpha 142.97
_cell_angle_beta 142.97
_cell_angle_gamma 53.37
_symmetry_space_group_name_H-M 'P 1'
_symmetry_Int_Tables_number 1
loop_
_symmetry_equiv_pos_as_xyz
'x,y,z'
loop_
_atom_site_label
_atom_site_type_symbol
_atom_site_fract_x
_atom_site_fract_y
_atom_site_fract_z
Ca1 Ca 0.000 0.000 0.000
Zn1 Zn 0.322 0.322 0.000
Cd1 Cd 0.691 0.691 0.000
# Space group   I4mm
# E_form   -0.64 eV/f.u.
# Electronic total energy   -1.61 eV/atom
# DOS at the Fermi energy   0.939 states/eV/cell

=====

# Ca12Zn6Cd (PBE-GGA, relaxed)
data_Ca12Zn6Cd
_cell_length_a 9.119
_cell_length_b 9.119
_cell_length_c 9.119
_cell_angle_alpha 109.47
_cell_angle_beta 109.47
_cell_angle_gamma 109.47
_symmetry_space_group_name_H-M 'P 1'
_symmetry_Int_Tables_number 1
loop_
_symmetry_equiv_pos_as_xyz
'x,y,z'
loop_
_atom_site_label
_atom_site_type_symbol
_atom_site_fract_x
_atom_site_fract_y
_atom_site_fract_z
Ca1 Ca 0.106 0.815 0.291
Ca2 Ca 0.185 0.291 0.476
Ca3 Ca 0.185 0.709 0.894
Ca4 Ca 0.291 0.106 0.815
Ca5 Ca 0.291 0.476 0.185
Ca6 Ca 0.476 0.185 0.291
Ca7 Ca 0.524 0.815 0.709
Ca8 Ca 0.709 0.524 0.815
Ca9 Ca 0.709 0.894 0.185
Ca10 Ca 0.815 0.291 0.106
Ca11 Ca 0.815 0.709 0.524
Ca12 Ca 0.894 0.185 0.709
Zn1 Zn 0.122 0.622 0.500
Zn2 Zn 0.378 0.500 0.878
Zn3 Zn 0.500 0.122 0.622
Zn4 Zn 0.500 0.878 0.378
Zn5 Zn 0.622 0.500 0.122
Zn6 Zn 0.878 0.378 0.500
Cd1 Cd 0.000 0.000 0.000
# Space group   Im-3
# E_form   -3.27 eV/f.u.
# Electronic total energy   -1.89 eV/atom
# DOS at the Fermi energy   18.409 states/eV/cell

=====

# Ca2ZnCd (PBE-GGA, relaxed)
data_Ca2ZnCd
_cell_length_a 5.329
_cell_length_b 5.329
_cell_length_c 5.329
_cell_angle_alpha 60.00
_cell_angle_beta 60.00
_cell_angle_gamma 60.00
_symmetry_space_group_name_H-M 'P 1'
_symmetry_Int_Tables_number 1
loop_
_symmetry_equiv_pos_as_xyz
'x,y,z'
loop_
_atom_site_label
_atom_site_type_symbol
_atom_site_fract_x
_atom_site_fract_y
_atom_site_fract_z
Ca1 Ca 0.250 0.250 0.250
Ca2 Ca 0.750 0.750 0.750
Zn1 Zn 0.000 0.000 0.000
Cd1 Cd 0.500 0.500 0.500
# Space group   Fm-3m
# E_form   -1.15 eV/f.u.
# Electronic total energy   -1.83 eV/atom
# DOS at the Fermi energy   2.759 states/eV/cell

=====

# Ca4ZnCd (PBE-GGA, relaxed)
data_Ca4ZnCd
_cell_length_a 6.764
_cell_length_b 6.764
_cell_length_c 6.764
_cell_angle_alpha 60.00
_cell_angle_beta 60.00
_cell_angle_gamma 60.00
_symmetry_space_group_name_H-M 'P 1'
_symmetry_Int_Tables_number 1
loop_
_symmetry_equiv_pos_as_xyz
'x,y,z'
loop_
_atom_site_label
_atom_site_type_symbol
_atom_site_fract_x
_atom_site_fract_y
_atom_site_fract_z
Ca1 Ca 0.125 0.125 0.125
Ca2 Ca 0.125 0.125 0.625
Ca3 Ca 0.125 0.625 0.125
Ca4 Ca 0.625 0.125 0.125
Zn1 Zn 0.500 0.500 0.500
Cd1 Cd 0.750 0.750 0.750
# Space group   F-43m
# ΔE to the lowest computed polymorph   568 meV/atom
# E_form   2.16 eV/f.u.
# Electronic total energy   -1.34 eV/atom
# DOS at the Fermi energy   6.621 states/eV/cell

=====

Among the records above, which one has the highest E_form? Ca4ZnCd

=====

What is the E_form in the third record? -0.64 eV/f.u.